# BePtAu2, PBEsol geometry, DFT SCAN
# formation enthalpy at 0 K = -0.3659 eV per atom
# final energy = -53.58 eV/atom
# V = 14.165 Å³/atom
# DOS(E_F) = 0.27 states/eV/atom
data_BePtAu2
_symmetry_space_group_name_H-M 'P 1'
_symmetry_Int_Tables_number 1
_symmetry_space_group_name_Hall 'P 1'
_cell_length_a 2.821
_cell_length_b 2.821
_cell_length_c 7.122
_cell_angle_alpha 90.00
_cell_angle_beta 90.00
_cell_angle_gamma 90.00
loop_
_atom_site_label
_atom_site_type_symbol
_atom_site_fract_x
_atom_site_fract_y
_atom_site_fract_z
Au1 Au 0.500 0.500 0.293
Be1 Be 0.000 0.000 0.520
Pt1 Pt 0.500 0.500 0.696
Au2 Au 0.000 0.000 0.992